# 1
# Na2CdAg2Cl6

An optimized crystal structure of Na2CdAg2Cl6 (GGA-PBE, Alexandria via LeMat-Bulk).

a b c (Å): 6.9709 6.9709 6.7303
angles (deg): 98.02 98.02 120.03
Element x y z (fractional)
Na (0.1635, 0.8365, 0.0000)
Na (0.8365, 0.1635, 0.0000)
Cd (0.5000, 0.5000, 0.0000)
Ag (0.3329, 0.6671, 0.5000)
Ag (0.6671, 0.3329, 0.5000)
Cl (0.1198, 0.4499, 0.7578)
Cl (0.2555, 0.2555, 0.2264)
Cl (0.4499, 0.1198, 0.7578)
Cl (0.5501, 0.8802, 0.2422)
Cl (0.7445, 0.7445, 0.7736)
Cl (0.8802, 0.5501, 0.2422)

Calculated values
Calculated total energy (Ry per atom): -0.217
DOS(E_F) (states/eV per cell): 0.0
Crystal system: monoclinic


# 2
# ZrAl4Cu

An optimized crystal structure of ZrAl4Cu (GGA-PBE, Alexandria via LeMat-Bulk).

a b c (Å): 4.4015 4.4015 6.0265
angles (deg): 90.00 90.00 120.00
Element x y z (fractional)
Zr (0.0000, 0.0000, 0.0000)
Al (0.3333, 0.6667, 0.2732)
Al (0.3333, 0.6667, 0.7268)
Al (0.6667, 0.3333, 0.2732)
Al (0.6667, 0.3333, 0.7268)
Cu (0.0000, 0.0000, 0.5000)

Calculated values
ΔH_f (0 K) (eV per atom): -0.15
DOS(E_F) (states/eV per cell): 4.6
Crystal system: hexagonal


# 3
# Ac2NdSn

An optimized crystal structure of Ac2NdSn (GGA-PBE, Alexandria via LeMat-Bulk).

a b c (Å): 5.8955 5.8955 5.8955
angles (deg): 60.00 60.00 60.00
Element x y z (fractional)
Ac (0.2500, 0.2500, 0.2500)
Ac (0.7500, 0.7500, 0.7500)
Nd (0.0000, 0.0000, 0.0000)
Sn (0.5000, 0.5000, 0.5000)

Calculated values
ΔH_f (0 K) (eV per atom): -0.16
E above lowest polymorph (eV/f.u.): 0.78
DOS(E_F) (states/eV per cell): 5.9
Crystal system: cubic


# 4
# DySc2Co

An optimized crystal structure of DySc2Co (GGA-PBE, Alexandria via LeMat-Bulk).

a b c (Å): 6.0124 6.0124 8.8036
angles (deg): 90.00 90.00 146.53
Element x y z (fractional)
Dy (0.0748, 0.9252, 0.7500)
Dy (0.9252, 0.0748, 0.2500)
Sc (0.3555, 0.6445, 0.5706)
Sc (0.3555, 0.6445, 0.9294)
Sc (0.6445, 0.3555, 0.0706)
Sc (0.6445, 0.3555, 0.4294)
Co (0.2437, 0.7563, 0.2500)
Co (0.7563, 0.2437, 0.7500)

Calculated values
ΔH_f (0 K) (eV per atom): -0.18
E above lowest polymorph (eV/f.u.): 0.07
DOS(E_F) (states/eV per cell): 11.3
Crystal system: orthorhombic


# 5
# ZnAuCl

An optimized crystal structure of ZnAuCl (GGA-PBE, Alexandria via LeMat-Bulk).

a b c (Å): 4.5076 4.5076 4.5076
angles (deg): 60.00 60.00 60.00
Element x y z (fractional)
Zn (0.0000, 0.0000, 0.0000)
Au (0.2500, 0.2500, 0.2500)
Cl (0.7500, 0.7500, 0.7500)

Calculated values
E above lowest polymorph (eV/f.u.): 1.72
DOS(E_F) (states/eV per cell): 0.1
Crystal system: cubic


# 6
# CuTc5

An optimized crystal structure of CuTc5 (GGA-PBE, Alexandria via LeMat-Bulk).

a b c (Å): 4.3528 7.2171 7.2171
angles (deg): 22.08 90.00 90.00
Element x y z (fractional)
Cu (0.0000, 0.0000, 0.0000)
Tc (0.0000, 0.3320, 0.3320)
Tc (0.0000, 0.6635, 0.6635)
Tc (0.5000, 0.2228, 0.2228)
Tc (0.5000, 0.5537, 0.5537)
Tc (0.5000, 0.8891, 0.8891)

Calculated values
ΔH_f (0 K) (eV per atom): 0.07
E above lowest polymorph (eV/f.u.): 0.00
DOS(E_F) (states/eV per cell): 6.5
Crystal system: orthorhombic